# Li2SmAl (PBE, optimized geometry)
# - Space group: Fm-3m
# - Formation enthalpy at 0 K: -0.179 eV/atom
data_Li2SmAl
_chemical_formula_sum 'Li2 Sm1 Al1'
_symmetry_space_group_name_H-M 'P 1'
_symmetry_Int_Tables_number 1
_symmetry_space_group_name_Hall 'P 1'
_cell_length_a 4.8118
_cell_length_b 4.8118
_cell_length_c 4.8118
_cell_angle_alpha 60.00
_cell_angle_beta 60.00
_cell_angle_gamma 60.00
loop_
_atom_site_label
_atom_site_type_symbol
_atom_site_fract_x
_atom_site_fract_y
_atom_site_fract_z
_atom_site_occupancy
Al1 Al 0.5000 0.5000 0.5000 1
Sm1 Sm 0.0000 0.0000 0.0000 1
Li1 Li 0.2500 0.2500 0.2500 1
Li2 Li 0.7500 0.7500 0.7500 1

---

# ZrHg2RhN (PBE, optimized geometry)
# - Space group: P4/mmm
# - Formation energy from raw total energies: 1.466 eV per formula unit
data_ZrHg2RhN
_chemical_formula_sum 'Zr1 Hg2 Rh1 N1'
_symmetry_space_group_name_H-M 'P 1'
_symmetry_Int_Tables_number 1
_symmetry_space_group_name_Hall 'P 1'
_cell_length_a 4.6546
_cell_length_b 4.2328
_cell_length_c 4.6546
_cell_angle_alpha 90.00
_cell_angle_beta 90.00
_cell_angle_gamma 90.00
loop_
_atom_site_label
_atom_site_type_symbol
_atom_site_fract_x
_atom_site_fract_y
_atom_site_fract_z
_atom_site_occupancy
Rh1 Rh 0.5000 0.5000 0.5000 1
Hg1 Hg 0.0000 0.0000 0.5000 1
Hg2 Hg 0.5000 0.0000 0.0000 1
Zr1 Zr 0.0000 0.5000 0.0000 1
N1 N 0.0000 0.0000 0.0000 1

---

# NaZn7Ag12 (PBE, optimized geometry)
# - Space group: Im-3
# - Formation enthalpy at 0 K: 0.268 eV/atom
data_NaZn7Ag12
_chemical_formula_sum 'Na1 Zn7 Ag12'
_symmetry_space_group_name_H-M 'P 1'
_symmetry_Int_Tables_number 1
_symmetry_space_group_name_Hall 'P 1'
_cell_length_a 8.3009
_cell_length_b 8.3009
_cell_length_c 8.3009
_cell_angle_alpha 109.47
_cell_angle_beta 109.47
_cell_angle_gamma 109.47
loop_
_atom_site_label
_atom_site_type_symbol
_atom_site_fract_x
_atom_site_fract_y
_atom_site_fract_z
_atom_site_occupancy
Na1 Na 0.0000 0.0000 0.0000 1
Zn1 Zn 0.5000 0.0000 0.5000 1
Zn2 Zn 0.5000 0.5000 0.0000 1
Zn3 Zn 0.0000 0.5000 0.5000 1
Zn4 Zn 0.0000 0.0000 0.5000 1
Zn5 Zn 0.5000 0.0000 0.0000 1
Zn6 Zn 0.5000 0.5000 0.5000 1
Zn7 Zn 0.0000 0.5000 0.0000 1
Ag1 Ag 0.2659 0.1490 0.4148 1
Ag2 Ag 0.2659 0.8510 0.1169 1
Ag3 Ag 0.7341 0.8510 0.5852 1
Ag4 Ag 0.7341 0.1490 0.8831 1
Ag5 Ag 0.4148 0.2659 0.1490 1
Ag6 Ag 0.8831 0.7341 0.1490 1
Ag7 Ag 0.5852 0.7341 0.8510 1
Ag8 Ag 0.1169 0.2659 0.8510 1
Ag9 Ag 0.8510 0.1169 0.2659 1
Ag10 Ag 0.1490 0.8831 0.7341 1
Ag11 Ag 0.1490 0.4148 0.2659 1
Ag12 Ag 0.8510 0.5852 0.7341 1

---

no.,E_tot (eV/atom)
1,-3.2518
2,-4.6725
3,-1.9548